## NdThNb (GGA-PBE)

Data for a geometry-optimized NdThNb structure.

## Properties
- ΔE_f: 0.271 eV/atom
- Crystal system: monoclinic

The structure in POSCAR format:
```
NdThNb
1.0
-0.5657 3.9089 3.2074
-4.8514 -1.5716 1.0596
2.1966 -5.7034 3.3027
Nb Nd Th
2 2 2
Direct
0.7489 0.1696 0.4978
0.2511 0.8304 0.5022
0.5974 0.7214 0.1948
0.4026 0.2786 0.8052
0.8908 0.7375 0.7815
0.1092 0.2625 0.2185
```